[1]
The following is a GGA-PBE calculation of a relaxed structure of TmTh2Zr, from Alexandria.

Computed properties:
Offset from the most stable computed form, eV/atom: 0.0366
Formation energy from the elements, eV/f.u.: 0.48
N(E_F), states/eV per cell: 5.4

Structure (POSCAR):
```
TmTh2Zr
1.0
-3.951 -1.063 -3.638
-0.791 -5.123 -1.764
-4.467 -2.767 1.540
Tm Th Zr
1 2 1
Cartesian
0.000 0.000 0.000 Tm
-2.302 -2.238 -0.966 Th
-6.907 -6.714 -2.897 Th
-4.605 -4.476 -1.932 Zr
```

[2]
The following is a GGA-PBE calculation of a relaxed structure of Ca2AsH, from Alexandria.

Computed properties:
Offset from the most stable computed form, eV/atom: 0.1116

Structure (POSCAR):
```
Ca2AsH
1.0
-0.420 5.392 1.553
-4.218 0.818 -3.980
-8.274 -3.060 8.389
As Ca H
4 8 4
Cartesian
-9.582 1.810 6.430 As
-9.787 2.922 2.514 As
-3.125 0.228 3.447 As
-3.330 1.339 -0.468 As
-3.803 2.852 4.335 Ca
-5.334 1.630 -2.589 Ca
-7.595 2.696 4.461 Ca
-9.840 -0.952 5.767 Ca
-3.071 4.101 0.195 Ca
-7.578 1.519 8.551 Ca
-5.316 0.454 1.501 Ca
-9.108 0.298 1.627 Ca
-7.221 -0.170 3.046 H
-5.691 3.319 2.915 H
-11.698 -0.862 4.239 H
-1.213 4.011 1.723 H
```

[3]
The following is a GGA-PBE calculation of a relaxed structure of BeHgSb3, from Alexandria.

Computed properties:
Offset from the most stable computed form, eV/atom: 0.0000
N(E_F), states/eV per cell: 4.8
Raw formation energy, eV per atom: 0.46

Structure (POSCAR):
```
BeHgSb3
1.0
-2.618 -1.106 4.122
4.180 -1.640 2.214
0.861 4.599 1.781
Sb Hg Be
3 1 1
Cartesian
0.431 2.299 0.891 Sb
2.090 -0.820 1.107 Sb
-1.309 -0.553 2.061 Sb
1.212 0.926 4.059 Hg
0.000 0.000 0.000 Be
```

[4]
The following is a GGA-PBE calculation of a relaxed structure of Pm3Er2Tl2, from Alexandria.

Computed properties:
Offset from the most stable computed form, eV/atom: 0.0894
Formation energy from the elements, eV/f.u.: -0.72
N(E_F), states/eV per cell: 7.2

Structure (POSCAR):
```
Pm3Er2Tl2
1.0
-2.756 4.152 0.732
-2.942 -1.994 0.232
0.219 1.078 12.040
Tl Er Pm
2 2 3
Cartesian
-2.863 2.303 10.817 Tl
-2.616 0.933 2.188 Tl
-3.311 2.583 7.541 Er
-2.167 0.653 5.464 Er
0.000 0.000 0.000 Pm
-0.249 1.370 8.621 Pm
-2.288 3.859 4.151 Pm
```

[5]
The following is a GGA-PBE calculation of a relaxed structure of Co3As2, from Alexandria.

Computed properties:
Formation energy from the elements, eV/f.u.: 0.75
N(E_F), states/eV per cell: 3.9

Structure (POSCAR):
```
Co3As2
1.0
9.276 -1.423 -0.003
9.276 1.423 -0.003
9.059 0.000 2.452
Co As
3 2
Cartesian
22.076 0.000 1.956 Co
5.535 0.000 0.490 Co
0.000 0.000 0.000 Co
16.588 0.000 1.470 As
11.023 0.000 0.977 As
```

[6]
The following is a GGA-PBE calculation of a relaxed structure of TaFeBr, from Alexandria.

Computed properties:
Offset from the most stable computed form, eV/atom: 0.6873
N(E_F), states/eV per cell: 3.3
Raw formation energy, eV per atom: 0.90

Structure (POSCAR):
```
TaFeBr
1.0
-3.078 1.517 -2.468
-0.770 -1.782 -3.755
-3.534 -2.243 -0.590
Ta Br Fe
1 1 1
Cartesian
0.000 0.000 0.000 Ta
-3.691 -1.254 -3.407 Br
-5.537 -1.881 -5.110 Fe
```

[7]
The following is a GGA-PBE calculation of a relaxed structure of TbLuRuAu, from Alexandria.

Computed properties:
Formation energy from the elements, eV/f.u.: -2.44
N(E_F), states/eV per cell: 2.0

Structure (POSCAR):
```
TbLuRuAu
1.0
4.910 0.000 0.000
2.455 4.252 0.000
2.455 1.417 4.009
Tb Ru Lu Au
1 1 1 1
Cartesian
4.910 2.835 2.004 Tb
7.364 4.252 3.006 Ru
0.000 0.000 0.000 Lu
2.455 1.417 1.002 Au
```

[8]
The following is a GGA-PBE calculation of a relaxed structure of Ta2RuClF, from Alexandria.

Computed properties:
N(E_F), states/eV per cell: 4.7
Raw formation energy, eV per atom: 0.91

Structure (POSCAR):
```
Ta2RuClF
1.0
-2.667 0.251 3.193
2.630 -3.252 2.453
2.269 3.081 1.652
F Ta Ru Cl
1 2 1 1
Cartesian
0.000 0.000 0.000 F
-1.333 0.126 1.596 Ta
1.134 1.541 0.826 Ta
1.315 -1.626 1.226 Ru
1.116 0.040 3.649 Cl
```

[9]
The following is a GGA-PBE calculation of a relaxed structure of Na3Tl5Cd, from Alexandria.

Computed properties:
Offset from the most stable computed form, eV/atom: 0.0000
Formation energy from the elements, eV/f.u.: -0.73
N(E_F), states/eV per cell: 5.2

Structure (POSCAR):
```
Na3Tl5Cd
1.0
-1.678 -1.241 2.752
-7.395 -1.590 -5.226
6.421 -6.506 0.981
Tl Na Cd
5 3 1
Cartesian
-1.526 -6.333 -1.619 Tl
1.052 -2.537 1.665 Tl
0.977 -5.488 0.288 Tl
-3.629 -3.850 -1.781 Tl
-3.017 -1.089 -0.163 Tl
-0.355 -2.948 -1.546 Na
-4.702 -1.011 -3.323 Na
4.083 -4.137 0.624 Na
0.000 0.000 0.000 Cd
```

[10]
The following is a GGA-PBE calculation of a relaxed structure of LaOs2Pb, from Alexandria.

Computed properties:
Formation energy from the elements, eV/f.u.: 1.46
N(E_F), states/eV per cell: 3.5

Structure (POSCAR):
```
LaOs2Pb
1.0
3.356 0.014 0.000
-0.339 3.339 0.000
0.000 0.000 8.002
La Os Pb
1 2 1
Cartesian
1.508 1.677 6.376 La
1.508 1.677 1.559 Os
0.000 0.000 0.485 Os
0.000 0.000 3.584 Pb
```

[11]
The following is a GGA-PBE calculation of a relaxed structure of Li3PmSn2, from Alexandria.

Computed properties:
Formation energy from the elements, eV/f.u.: -2.93
N(E_F), states/eV per cell: 5.8

Structure (POSCAR):
```
Li3PmSn2
1.0
4.706 0.000 0.000
-2.353 6.989 -0.517
0.000 -3.620 8.316
Sn Li Pm
4 6 2
Cartesian
2.353 3.033 2.016 Sn
2.353 -0.032 1.524 Sn
0.000 0.335 5.782 Sn
0.000 3.400 6.274 Sn
2.353 -1.166 5.590 Li
2.353 4.006 4.700 Li
2.353 1.082 4.226 Li
0.000 2.287 3.572 Li
0.000 -0.638 3.098 Li
0.000 4.534 2.209 Li
2.353 1.474 7.754 Pm
0.000 1.894 0.045 Pm
```

[12]
The following is a GGA-PBE calculation of a relaxed structure of Th3Al4Ag4, from Alexandria.

Computed properties:
Formation energy from the elements, eV/f.u.: -3.21
N(E_F), states/eV per cell: 6.1

Structure (POSCAR):
```
Th3Al4Ag4
1.0
-1.409 3.006 -3.102
5.273 -2.106 -4.436
-6.449 -5.589 0.840
Ag Al Th
4 4 3
Cartesian
1.421 -1.726 -5.645 Ag
-1.932 -3.792 -2.798 Ag
-4.006 -2.964 -1.053 Ag
-0.653 -0.897 -3.900 Ag
0.687 -3.271 -3.482 Al
0.278 1.111 -2.377 Al
3.586 -0.211 -5.160 Al
-3.272 -1.419 -3.216 Al
-1.124 -1.279 -0.729 Th
2.636 -1.053 -2.218 Th
-1.461 -3.410 -5.969 Th
```

[13]
The following is a GGA-PBE calculation of a relaxed structure of HfBrNF2, from Alexandria.

Computed properties:
Offset from the most stable computed form, eV/atom: 0.0000
N(E_F), states/eV per cell: 1.6
Raw formation energy, eV per atom: -1.67

Structure (POSCAR):
```
HfBrNF2
1.0
-3.007 -2.031 1.950
-0.278 -2.625 -3.162
2.984 -2.599 1.895
N F Hf Br
1 2 1 1
Cartesian
1.492 -1.299 0.948 N
-1.503 -1.015 0.975 F
-0.139 -1.312 -1.581 F
0.000 0.000 0.000 Hf
-0.150 -3.627 0.341 Br
```

Electronic total energy in eV/cell, matching the order above: -27.4, -61.5, -14.1, -28.8, -29.9, -19.3, -24.1, -32.1, -17.4, -29.6, -42.9, -51.8, -32.0